Compound: KCo2Au
Source: Alexandria
Functional: PBEsol
Structure: optimized geometry

Summary:
Its symmetry is P4/mmm (123). Its total energy is -4.36 eV/atom.

```
KCo2Au
1.0
3.339 0.000 0.000
0.000 3.339 0.000
0.000 0.000 7.127
K Co Au
1 2 1
direct
0.000 0.000 0.000
0.500 0.500 0.349
0.500 0.500 0.651
0.000 0.000 0.500
```